# 1
# CrHgP2F, relaxed, DFT PBE with a Hubbard U
data_CrHgP2F
_chemical_formula_sum 'Cr1 Hg1 P2 F1'
_cell_length_a 4.9646
_cell_length_b 4.9646
_cell_length_c 4.5099
_cell_angle_alpha 90.00
_cell_angle_beta 90.00
_cell_angle_gamma 90.00
_space_group_name_H-M_alt 'P 4/m m m'
_space_group_IT_number 123
_space_group_name_Hall '-P 4 2'
loop_
_atom_site_label
_atom_site_type_symbol
_atom_site_fract_x
_atom_site_fract_y
_atom_site_fract_z
Cr1 Cr 0.0000 0.0000 0.0000
Hg1 Hg 0.5000 0.5000 0.5000
P1 P 0.0000 0.5000 0.5000
F1 F 0.5000 0.5000 0.0000
# - V (A^3/atom) = 22.23
# - energy relative to the lowest polymorph listed for this composition (eV per atom) = 0.347



# 2
# CoRhO, relaxed, DFT PBE with a Hubbard U
data_CoRhO
_chemical_formula_sum 'Co4 Rh4 O4'
_cell_length_a 2.8495
_cell_length_b 10.8534
_cell_length_c 5.0155
_cell_angle_alpha 90.00
_cell_angle_beta 90.00
_cell_angle_gamma 90.00
_space_group_name_H-M_alt 'P m n 21'
_space_group_IT_number 31
loop_
_space_group_symop_operation_xyz
'x,y,z'
'-x+1/2,-y,z+1/2'
'-x,y,z'
'x+1/2,-y,z+1/2'
loop_
_atom_site_label
_atom_site_type_symbol
_atom_site_fract_x
_atom_site_fract_y
_atom_site_fract_z
Co1 Co 0.0000 0.0402 0.0000
Co2 Co 0.0000 0.2513 0.4867
Rh1 Rh 0.0000 0.4851 0.3059
Rh2 Rh 0.0000 0.6889 0.5703
O1 O 0.0000 0.0726 0.3867
O2 O 0.0000 0.2083 0.8609
# - V (A^3/atom) = 12.93
# - calculated total energy (Ry/atom) = -0.450